## YIn2Se (PBE)

Data for a relaxed structure of YIn2Se.

raw total energy	-18.3	eV for the cell shown
ΔE_f (raw)	-0.723	eV per atom
DOS(E_F)	0.369	states/eV/atom
space-group type	No. 6

Lattice parameters (Å, degrees): 3.929 4.082 6.799 90.00 90.02 90.00
Positions (direct):
Y: 0.000 0.000 0.000
In: 0.002 0.000 0.516
In: 0.501 0.500 0.331
Se: 0.500 0.500 0.910



## YInSe4 (PBE)

Data for a relaxed structure of YInSe4.

raw total energy	-23.5	eV for the cell shown
ΔE_f (raw)	-0.067	eV per atom
DOS(E_F)	0.830	states/eV/atom
space-group type	No. 216

Lattice parameters (Å, degrees): 5.875 5.875 5.875 60.00 60.00 60.00
Positions (direct):
Y: 0.000 0.000 0.000
In: 0.750 0.750 0.750
Se: 0.374 0.374 0.374
Se: 0.374 0.374 0.877
Se: 0.374 0.877 0.374
Se: 0.877 0.374 0.374



## YIn2Se (PBE)

Data for a relaxed structure of YIn2Se.

raw total energy	-17.9	eV for the cell shown
ΔE_f (raw)	-0.615	eV per atom
DOS(E_F)	0.830	states/eV/atom
space-group type	No. 10

Lattice parameters (Å, degrees): 4.115 6.468 4.127 90.00 90.47 90.00
Positions (direct):
Y: 0.000 0.000 0.000
In: 0.248 0.500 0.248
In: 0.752 0.500 0.752
Se: 0.500 0.000 0.500